CdInRe | GGA-PBE | optimized geometry

```
CdInRe
1.0
0.0000 3.2626 3.2626
3.2626 0.0000 3.2626
3.2626 3.2626 0.0000
Cd In Re
1 1 1
Direct
0.0000 0.0000 0.0000
0.5000 0.5000 0.5000
0.2500 0.2500 0.2500
```

Properties
Crystal system ... cubic
Energy ... -13.164 eV/cell
Formation energy from the elements ... 0.98 eV per atom
Space-group type ... No. 216
Mass density ... 9.884 g cm⁻³
V ... 23.15 Å³ per atom